MgPaBi2, optimized geometry, DFT PBE; spin magnetization = 0.25 μB per atom; relative energy among the computed polymorphs = 149.5 meV/atom; ΔE_f = -0.05 eV per atom
1.0
2.2323 1.2888 7.2793
-2.2323 1.2888 7.2793
0.0000 -2.5776 7.2793
Mg Pa Bi
1 1 2
Direct
0.0000 0.0000 0.0000
0.1683 0.1683 0.1683
0.5868 0.5868 0.5868
0.7514 0.7514 0.7514

---

PrY3Er2Te6, optimized geometry, DFT PBE; spin magnetization = 0.00 μB per atom; raw formation energy = -15.6 eV per formula unit
1.0
9.5194 -2.1720 0.0000
9.5194 2.1720 0.0000
-1.8648 0.0000 8.6245
Pr Y Er Te
1 3 2 6
Direct
0.0000 0.0000 0.0000
0.0000 0.0000 0.5000
0.3415 0.3415 0.1639
0.6585 0.6585 0.8361
0.3365 0.3365 0.6682
0.6635 0.6635 0.3318
0.1692 0.1692 0.5844
0.1737 0.1737 0.0925
0.4966 0.4966 0.7388
0.5034 0.5034 0.2612
0.8263 0.8263 0.9075
0.8308 0.8308 0.4156